A plane-wave DFT calculation with meta-GGA SCAN was carried out for a crystal of HfCoSi3 relaxed with PBEsol.

extended XYZ file:
```
5
Lattice="4.8993 0.0000 0.0000 0.0000 4.8993 0.0000 0.0000 0.0000 4.8993" Properties=species:S:1:pos:R:3 pbc="T T T"
Hf 0.0000 0.0000 0.0000
Co 2.4496 2.4496 2.4496
Si 0.0000 0.0000 2.4496
Si 0.0000 2.4496 0.0000
Si 2.4496 0.0000 0.0000
```

Computed properties:
Total magnetization: 2.8 μB/cell
Density: 4542 kg/m³
Calculated volume: 117.6 Å³ per cell
Energy relative to the elements, uncorrected: 31.50 kcal/mol of atoms